Version w
! BaPt3O | the Alexandria database | PBE | optimized geometry; values from VASP
&SYSTEM
  ibrav = 0, nat = 5, ntyp = 3
/
ATOMIC_SPECIES
Pt 195.08 Pt.upf
O 16.00 O.upf
Ba 137.33 Ba.upf
CELL_PARAMETERS angstrom
-0.564 1.284 -5.242
4.296 -3.083 -1.217
-3.267 -4.277 -0.696
ATOMIC_POSITIONS crystal
Pt 0.500 0.000 0.000
O 0.500 0.500 0.500
Ba 0.000 0.000 0.000
Pt 0.000 0.000 0.500
Pt 0.000 0.500 0.000
! SG: No. 221
! Calculated volume, Å³/cell: 159.8
! Total magnetization, μB/cell: 0.0


Version x
! BaPt3O | the Alexandria database | PBE | optimized geometry; values from VASP
&SYSTEM
  ibrav = 0, nat = 5, ntyp = 3
/
ATOMIC_SPECIES
O 16.00 O.upf
Pt 195.08 Pt.upf
Ba 137.33 Ba.upf
CELL_PARAMETERS angstrom
-0.422 -2.936 3.481
3.830 1.663 1.867
-2.464 3.087 2.305
ATOMIC_POSITIONS crystal
O 0.000 0.000 0.000
Pt 0.000 0.500 0.000
Ba 0.500 0.500 0.500
Pt 0.500 0.000 0.000
Pt 0.000 0.000 0.500
! SG: No. 221
! Calculated volume, Å³/cell: 95.6
! Total magnetization, μB/cell: 0.0


Which structure loses on stability? version w does.


Version w
! BaPu2O8 | the Alexandria database | PBE | optimized geometry; values from VASP
&SYSTEM
  ibrav = 0, nat = 11, ntyp = 3
/
ATOMIC_SPECIES
O 16.00 O.upf
Pu 244.00 Pu.upf
Ba 137.33 Ba.upf
CELL_PARAMETERS angstrom
-2.950 -1.359 -2.697
-1.262 -7.000 1.604
-5.885 1.237 2.509
ATOMIC_POSITIONS crystal
O 0.861 0.649 0.628
O 0.121 0.055 0.703
O 0.160 0.667 0.012
O 0.494 0.315 0.697
Pu 0.991 0.331 0.688
O 0.879 0.945 0.297
Ba 0.500 0.000 0.000
Pu 0.009 0.669 0.312
O 0.840 0.333 0.988
O 0.139 0.351 0.372
O 0.506 0.685 0.303
! SG: No. 12
! Calculated volume, Å³/cell: 181.5
! Total magnetization, μB/cell: 2.0


Version x
! BaPu2O8 | the Alexandria database | PBE | optimized geometry; values from VASP
&SYSTEM
  ibrav = 0, nat = 11, ntyp = 3
/
ATOMIC_SPECIES
Pu 244.00 Pu.upf
O 16.00 O.upf
Ba 137.33 Ba.upf
CELL_PARAMETERS angstrom
-1.846 1.822 -4.400
-3.530 -3.691 -0.048
-4.071 3.852 3.303
ATOMIC_POSITIONS crystal
Pu 0.500 0.000 0.000
O 0.750 0.250 0.815
O 0.250 0.250 0.815
O 0.250 0.750 0.185
O 0.750 0.750 0.185
Ba 0.500 0.500 0.500
O 0.750 0.750 0.815
O 0.750 0.250 0.185
O 0.250 0.250 0.185
Pu 0.000 0.500 0.000
O 0.250 0.750 0.815
! SG: No. 123
! Calculated volume, Å³/cell: 169.7
! Total magnetization, μB/cell: 2.0


Which structure loses on stability? version x does.


Version w
! Ba2PuO6 | the Alexandria database | PBE | optimized geometry; values from VASP
&SYSTEM
  ibrav = 0, nat = 9, ntyp = 3
/
ATOMIC_SPECIES
O 16.00 O.upf
Ba 137.33 Ba.upf
Pu 244.00 Pu.upf
CELL_PARAMETERS angstrom
4.492 0.000 -0.179
0.000 5.776 0.000
-2.014 -2.888 5.921
ATOMIC_POSITIONS crystal
O 0.128 0.353 0.255
Ba 0.339 0.339 0.677
O 0.500 0.175 0.000
O 0.128 0.903 0.255
O 0.872 0.647 0.745
O 0.872 0.097 0.745
Pu 0.000 0.000 0.000
O 0.500 0.825 0.000
Ba 0.661 0.661 0.323
! SG: No. 71
! Calculated volume, Å³/cell: 151.5
! Total magnetization, μB/cell: 2.0


Version x
! Ba2PuO6 | the Alexandria database | PBE | optimized geometry; values from VASP
&SYSTEM
  ibrav = 0, nat = 18, ntyp = 3
/
ATOMIC_SPECIES
O 16.00 O.upf
Pu 244.00 Pu.upf
Ba 137.33 Ba.upf
CELL_PARAMETERS angstrom
-2.047 2.732 -5.065
-5.601 0.290 2.419
1.952 8.050 3.553
ATOMIC_POSITIONS crystal
O 0.853 0.286 0.000
Pu 0.500 0.500 0.500
O 0.214 0.647 0.500
Ba 0.500 0.000 0.750
O 0.000 0.000 0.221
O 0.000 0.000 0.779
Ba 0.500 0.000 0.250
Ba 0.000 0.500 0.750
Ba 0.000 0.500 0.250
O 0.353 0.214 0.500
O 0.500 0.500 0.279
O 0.500 0.500 0.721
Pu 0.000 0.000 0.000
O 0.786 0.353 0.500
O 0.647 0.786 0.500
O 0.147 0.714 0.000
O 0.714 0.853 0.000
O 0.286 0.147 0.000
! SG: No. 128
! Calculated volume, Å³/cell: 336.2
! Total magnetization, μB/cell: 0.0


Which structure loses on stability? version w does.


Version w
! BaPu3O8 | the Alexandria database | PBE | optimized geometry; values from VASP
&SYSTEM
  ibrav = 0, nat = 12, ntyp = 3
/
ATOMIC_SPECIES
Pu 244.00 Pu.upf
O 16.00 O.upf
Ba 137.33 Ba.upf
CELL_PARAMETERS angstrom
6.062 0.000 3.273
2.148 5.669 3.273
-0.252 -0.174 7.718
ATOMIC_POSITIONS crystal
Pu 0.000 0.500 0.000
O 0.250 0.250 0.834
O 0.666 0.250 0.834
O 0.720 0.720 0.840
O 0.750 0.750 0.166
Pu 0.500 0.000 0.000
O 0.280 0.280 0.160
O 0.750 0.334 0.166
O 0.250 0.666 0.834
Pu 0.500 0.500 0.000
Ba 0.500 0.500 0.500
O 0.334 0.750 0.166
! SG: No. 166
! Calculated volume, Å³/cell: 272.1
! Total magnetization, μB/cell: 10.0


Version x
! BaPu3O8 | the Alexandria database | PBE | optimized geometry; values from VASP
&SYSTEM
  ibrav = 0, nat = 12, ntyp = 3
/
ATOMIC_SPECIES
O 16.00 O.upf
Pu 244.00 Pu.upf
Ba 137.33 Ba.upf
CELL_PARAMETERS angstrom
-0.794 -5.588 -1.643
1.535 1.246 5.536
-6.839 0.444 1.796
ATOMIC_POSITIONS crystal
O 0.717 0.047 0.148
Pu 0.000 0.000 0.000
O 0.333 0.667 0.383
Pu 0.667 0.333 0.886
O 0.329 0.283 0.148
Ba 0.000 0.000 0.500
Pu 0.333 0.667 0.114
O 0.667 0.333 0.617
O 0.047 0.329 0.852
O 0.953 0.671 0.148
O 0.671 0.717 0.852
O 0.283 0.953 0.852
! SG: No. 147
! Calculated volume, Å³/cell: 212.0
! Total magnetization, μB/cell: 10.0


Which structure loses on stability? version x does.